The following is a GGA-PBEsol calculation of crystalline TaPd at its relaxed geometry, from the Alexandria database.

Calculated values
crystal system = tetragonal
calculated total energy = -9.632 eV per atom
SG = P4/nmm (129)

Cell lengths 3.278, 3.278, 5.985 Å; angles 90.00, 90.00, 90.00 degrees
Positions (direct):
Pd  0.000  0.500  0.370
Pd  0.500  0.000  0.630
Ta  0.000  0.500  0.855
Ta  0.500  0.000  0.145



The following is a GGA-PBEsol calculation of crystalline TaPd3 at its relaxed geometry, from the Alexandria database.

Calculated values
crystal system = tetragonal
calculated total energy = -8.129 eV per atom
SG = I4/mmm (139)

Cell lengths 3.874, 3.874, 4.822 Å; angles 113.68, 113.68, 90.00 degrees
Positions (direct):
Pd  0.500  0.500  0.000
Pd  0.250  0.750  0.500
Pd  0.750  0.250  0.500
Ta  0.000  0.000  0.000



The following is a GGA-PBEsol calculation of crystalline TaPd at its relaxed geometry, from the Alexandria database.

Calculated values
crystal system = trigonal
calculated total energy = -9.410 eV per atom
SG = R-3m (166)

Cell lengths 2.826, 2.826, 4.897 Å; angles 73.23, 73.23, 60.00 degrees
Positions (direct):
Pd  0.000  0.000  0.000
Ta  0.500  0.500  0.500



The following is a GGA-PBEsol calculation of crystalline TaPd3 at its relaxed geometry, from the Alexandria database.

Calculated values
crystal system = hexagonal
calculated total energy = -8.096 eV per atom
SG = P6_3/mmc (194)

Cell lengths 4.604, 5.472, 5.472 Å; angles 120.00, 90.00, 90.00 degrees
Positions (direct):
Pd  0.250  0.168  0.336
Pd  0.250  0.664  0.832
Pd  0.250  0.168  0.832
Pd  0.750  0.832  0.664
Pd  0.750  0.336  0.168
Pd  0.750  0.832  0.168
Ta  0.750  0.333  0.667
Ta  0.250  0.667  0.333



The following is a GGA-PBEsol calculation of crystalline TaPd at its relaxed geometry, from the Alexandria database.

Calculated values
crystal system = tetragonal
calculated total energy = -9.581 eV per atom
SG = P4/mmm (123)

Cell lengths 2.782, 2.782, 4.066 Å; angles 90.00, 90.00, 90.00 degrees
Positions (direct):
Pd  0.000  0.000  0.000
Ta  0.500  0.500  0.500



The following is a GGA-PBEsol calculation of crystalline TaTe3Pd at its relaxed geometry, from the Alexandria database.

Calculated values
crystal system = cubic
SG = Pm-3m (221)
distance to the lowest polymorph of the same formula = 281 meV/atom

Cell lengths 5.098, 5.098, 5.098 Å; angles 90.00, 90.00, 90.00 degrees
Positions (direct):
Te  0.000  0.500  0.000
Te  0.000  0.000  0.500
Te  0.500  0.000  0.000
Pd  0.000  0.000  0.000
Ta  0.500  0.500  0.500



The following is a GGA-PBEsol calculation of crystalline TaTe3Pd at its relaxed geometry, from the Alexandria database.

Calculated values
crystal system = cubic
SG = Pm-3m (221)
distance to the lowest polymorph of the same formula = 0 meV/atom

Cell lengths 5.298, 5.298, 5.298 Å; angles 90.00, 90.00, 90.00 degrees
Positions (direct):
Te  0.000  0.500  0.000
Te  0.000  0.000  0.500
Te  0.500  0.000  0.000
Pd  0.500  0.500  0.500
Ta  0.000  0.000  0.000



The following is a GGA-PBEsol calculation of crystalline TaTiPd2W at its relaxed geometry, from the Alexandria database.

Calculated values
crystal system = tetragonal
calculated total energy = -7.988 eV per atom
SG = P4/mmm (123)

Cell lengths 4.366, 4.366, 4.748 Å; angles 90.00, 90.00, 90.00 degrees
Positions (direct):
Ti  0.000  0.000  0.000
Pd  0.000  0.500  0.000
Pd  0.500  0.000  0.000
W  0.500  0.500  0.500
Ta  0.000  0.000  0.500



The following is a GGA-PBEsol calculation of crystalline TaPd3W at its relaxed geometry, from the Alexandria database.

Calculated values
crystal system = cubic
SG = Pm-3m (221)
distance to the lowest polymorph of the same formula = 0 meV/atom

Cell lengths 4.665, 4.665, 4.665 Å; angles 90.00, 90.00, 90.00 degrees
Positions (direct):
Pd  0.000  0.500  0.000
Pd  0.000  0.000  0.500
Pd  0.500  0.000  0.000
W  0.000  0.000  0.000
Ta  0.500  0.500  0.500



The following is a GGA-PBEsol calculation of crystalline ZrTaPd3 at its relaxed geometry, from the Alexandria database.

Calculated values
crystal system = cubic
calculated total energy = -6.809 eV per atom
SG = Pm-3m (221)

Cell lengths 4.694, 4.694, 4.694 Å; angles 90.00, 90.00, 90.00 degrees
Positions (direct):
Zr  0.000  0.000  0.000
Pd  0.000  0.500  0.000
Pd  0.000  0.000  0.500
Pd  0.500  0.000  0.000
Ta  0.500  0.500  0.500



The following is a GGA-PBEsol calculation of crystalline Tb3Pd4 at its relaxed geometry, from the Alexandria database.

Calculated values
crystal system = trigonal
calculated total energy = -6.450 eV per atom
SG = R-3 (148)

Cell lengths 5.662, 7.774, 7.774 Å; angles 114.30, 104.05, 104.05 degrees
Positions (direct):
Tb  0.405  0.380  0.127
Tb  0.025  0.748  0.620
Tb  0.278  0.873  0.252
Tb  0.595  0.620  0.873
Tb  0.975  0.252  0.380
Tb  0.722  0.127  0.748
Pd  0.000  0.000  0.000
Pd  0.500  0.000  0.000
Pd  0.226  0.165  0.677
Pd  0.061  0.512  0.835
Pd  0.549  0.323  0.488
Pd  0.774  0.835  0.323
Pd  0.939  0.488  0.165
Pd  0.451  0.677  0.512



The following is a GGA-PBEsol calculation of crystalline TbTlPd at its relaxed geometry, from the Alexandria database.

Calculated values
crystal system = hexagonal
calculated total energy = -5.234 eV per atom
SG = P-62m (189)

Cell lengths 3.807, 7.660, 7.660 Å; angles 120.00, 90.00, 90.00 degrees
Positions (direct):
Tb  0.500  0.405  0.405
Tb  0.500  0.595  0.000
Tb  0.500  0.000  0.595
Tl  0.000  0.735  0.735
Tl  0.000  0.265  0.000
Tl  0.000  0.000  0.265
Pd  0.500  0.000  0.000
Pd  0.000  0.667  0.333
Pd  0.000  0.333  0.667



no.,DOS(E_F) (states/eV/atom)
1,0.517
2,0.340
3,0.824
4,0.533
5,0.792
6,1.073
7,0.994
8,0.737
9,1.125
10,0.778
11,0.415
12,0.800